SrHo6Te8 after structural relaxation. Source: Alexandria via LeMat-Bulk, functional PBE.

Output
The calculation puts the density at 7490 kg/m3. The calculation puts the electronic total energy at -4.981 eV per atom. As for the energy relative to the lowest polymorph listed for this composition: 0.0 meV/atom. Its magnetization is 0.0 μB per formula unit. The formation energy from raw total energies comes out at -20.438 eV per formula unit. Its space group is No. 225.

Lattice parameters (Å, degrees): 8.697 8.697 8.697 60.00 60.00 60.00
Fractional positions:
Sr1 0.000 0.000 0.000
Ho1 0.000 0.000 0.500
Ho2 0.000 0.500 0.000
Ho3 0.000 0.500 0.500
Ho4 0.500 0.000 0.000
Ho5 0.500 0.000 0.500
Ho6 0.500 0.500 0.000
Te1 0.250 0.250 0.250
Te2 0.264 0.264 0.736
Te3 0.264 0.736 0.264
Te4 0.264 0.736 0.736
Te5 0.736 0.264 0.264
Te6 0.736 0.264 0.736
Te7 0.736 0.736 0.264
Te8 0.750 0.750 0.750


NaPa2O6 after structural relaxation. Source: Alexandria via LeMat-Bulk, functional PBE.

Output
The calculation puts the density at 8736 kg/m3. The calculation puts the electronic total energy at -8.545 eV per atom. As for the energy relative to the lowest polymorph listed for this composition: 57.6 meV/atom. Its magnetization is 0.0 μB per formula unit. The formation energy from raw total energies comes out at -26.844 eV per formula unit. Its space group is No. 147.

Lattice parameters (Å, degrees): 5.993 5.993 3.551 90.00 90.00 120.00
Fractional positions:
Na1 0.000 0.000 0.000
Pa1 0.333 0.667 0.744
Pa2 0.667 0.333 0.256
O1 0.086 0.683 0.249
O2 0.317 0.403 0.249
O3 0.403 0.086 0.751
O4 0.597 0.914 0.249
O5 0.683 0.597 0.751
O6 0.914 0.317 0.751


Pr4Ho3ScSe8 after structural relaxation. Source: Alexandria via LeMat-Bulk, functional PBE.

Output
The calculation puts the density at 7164 kg/m3. The calculation puts the electronic total energy at -5.957 eV per atom. Its magnetization is 0.0 μB per formula unit. The formation energy from raw total energies comes out at -28.251 eV per formula unit. Its space group is No. 166.

Lattice parameters (Å, degrees): 8.423 8.423 8.423 57.89 57.89 57.89
Fractional positions:
Pr1 0.000 0.000 0.000
Pr2 0.000 0.500 0.500
Pr3 0.500 0.000 0.500
Pr4 0.500 0.500 0.000
Ho1 0.000 0.000 0.500
Ho2 0.000 0.500 0.000
Ho3 0.500 0.000 0.000
Sc1 0.500 0.500 0.500
Se1 0.243 0.243 0.243
Se2 0.248 0.739 0.739
Se3 0.261 0.261 0.752
Se4 0.261 0.752 0.261
Se5 0.739 0.248 0.739
Se6 0.739 0.739 0.248
Se7 0.752 0.261 0.261
Se8 0.757 0.757 0.757


Al2Sb after structural relaxation. Source: Alexandria via LeMat-Bulk, functional PBE.

Output
The calculation puts the density at 4445 kg/m3. The calculation puts the electronic total energy at -3.761 eV per atom. Its magnetization is 0.0 μB per formula unit. The formation energy from raw total energies comes out at 0.324 eV per formula unit. Its space group is No. 12.

Lattice parameters (Å, degrees): 6.230 6.230 6.721 120.26 120.26 36.42
Fractional positions:
Al1 0.062 0.062 0.289
Al2 0.380 0.380 0.981
Al3 0.620 0.620 0.019
Al4 0.938 0.938 0.711
Sb1 0.316 0.316 0.327
Sb2 0.684 0.684 0.673


Si4TcRu after structural relaxation. Source: Alexandria via LeMat-Bulk, functional PBE.

Output
The calculation puts the density at 6587 kg/m3. The calculation puts the electronic total energy at -6.453 eV per atom. Its magnetization is 0.0 μB per formula unit. The formation energy from raw total energies comes out at 2.614 eV per formula unit. Its space group is No. 216.

Lattice parameters (Å, degrees): 4.806 4.806 4.806 60.00 60.00 60.00
Fractional positions:
Si1 0.125 0.125 0.125
Si2 0.125 0.125 0.625
Si3 0.125 0.625 0.125
Si4 0.625 0.125 0.125
Tc1 0.500 0.500 0.500
Ru1 0.750 0.750 0.750


In4Hg8Bi after structural relaxation. Source: Alexandria via LeMat-Bulk, functional PBE.

Output
The calculation puts the density at 10526 kg/m3. The calculation puts the electronic total energy at -1.293 eV per atom. As for the energy relative to the lowest polymorph listed for this composition: 0.0 meV/atom. As for the formation energy from the elements: 42 kJ/mol of formula units. Its magnetization is 0.0 μB per formula unit. Its space group is No. 8.

Lattice parameters (Å, degrees): 9.878 9.878 14.376 130.58 130.58 19.90
Fractional positions:
In1 0.000 0.000 0.000
In2 0.307 0.307 0.844
In3 0.580 0.580 0.462
In4 0.693 0.693 0.139
Hg1 0.163 0.163 0.926
Hg2 0.250 0.250 0.371
Hg3 0.262 0.262 0.592
Hg4 0.469 0.469 0.792
Hg5 0.558 0.558 0.235
Hg6 0.631 0.631 0.709
Hg7 0.861 0.861 0.081
Hg8 0.899 0.899 0.321
Bi1 0.946 0.946 0.579


PrCd6Hg2 after structural relaxation. Source: Alexandria via LeMat-Bulk, functional PBE.

Output
The calculation puts the density at 9154 kg/m3. The calculation puts the electronic total energy at -1.312 eV per atom. As for the formation energy from the elements: -90 kJ/mol of formula units. Its magnetization is 0.2 μB per formula unit. Its space group is No. 12.

Lattice parameters (Å, degrees): 9.010 9.010 3.214 100.02 100.02 59.69
Fractional positions:
Pr1 0.000 0.000 0.000
Cd1 0.004 0.346 0.677
Cd2 0.331 0.669 0.500
Cd3 0.346 0.004 0.677
Cd4 0.654 0.996 0.323
Cd5 0.669 0.331 0.500
Cd6 0.996 0.654 0.323
Hg1 0.349 0.349 0.842
Hg2 0.651 0.651 0.158


LaV2Cr after structural relaxation. Source: Alexandria via LeMat-Bulk, functional PBE.

Output
The calculation puts the density at 7006 kg/m3. The calculation puts the electronic total energy at -7.593 eV per atom. As for the energy relative to the lowest polymorph listed for this composition: 0.0 meV/atom. As for the formation energy from the elements: 233 kJ/mol of formula units. Its magnetization is 0.8 μB per formula unit. Its space group is No. 225.

Lattice parameters (Å, degrees): 4.613 4.613 4.613 60.00 60.00 60.00
Fractional positions:
La1 0.000 0.000 0.000
V1 0.250 0.250 0.250
V2 0.750 0.750 0.750
Cr1 0.500 0.500 0.500


Pm2SmDyTl2 after structural relaxation. Source: Alexandria via LeMat-Bulk, functional PBE.

Output
The calculation puts the density at 9209 kg/m3. The calculation puts the electronic total energy at -4.198 eV per atom. As for the formation energy from the elements: -158 kJ/mol of formula units. Its magnetization is 0.0 μB per formula unit. Its space group is No. 26.

Lattice parameters (Å, degrees): 5.192 10.187 6.897 90.00 90.00 90.00
Fractional positions:
Pm1 0.000 0.044 0.000
Pm2 0.000 0.956 0.500
Pm3 0.500 0.184 0.275
Pm4 0.500 0.816 0.775
Sm1 0.500 0.457 0.908
Sm2 0.500 0.543 0.408
Dy1 0.000 0.314 0.628
Dy2 0.000 0.686 0.128
Tl1 0.000 0.370 0.167
Tl2 0.000 0.630 0.667
Tl3 0.500 0.142 0.743
Tl4 0.500 0.858 0.243


ThMg6Cd2 after structural relaxation. Source: Alexandria via LeMat-Bulk, functional PBE.

Output
The calculation puts the density at 4628 kg/m3. The calculation puts the electronic total energy at -2.125 eV per atom. As for the formation energy from the elements: -30 kJ/mol of formula units. Its magnetization is 0.0 μB per formula unit. Its space group is No. 123.

Lattice parameters (Å, degrees): 4.503 4.503 10.667 90.00 90.00 90.00
Fractional positions:
Th1 0.000 0.000 0.000
Mg1 0.000 0.000 0.500
Mg2 0.000 0.500 0.288
Mg3 0.000 0.500 0.712
Mg4 0.500 0.000 0.288
Mg5 0.500 0.000 0.712
Mg6 0.500 0.500 0.500
Cd1 0.500 0.500 0.127
Cd2 0.500 0.500 0.873


Fe2NiAs2 after structural relaxation. Source: Alexandria via LeMat-Bulk, functional PBE.

Output
The calculation puts the density at 8502 kg/m3. The calculation puts the electronic total energy at -6.340 eV per atom. As for the formation energy from the elements: 29 kJ/mol of formula units. Its magnetization is 0.3 μB per formula unit. Its space group is No. 127.

Lattice parameters (Å, degrees): 6.703 6.703 2.784 90.00 90.00 90.00
Fractional positions:
Fe1 0.140 0.360 0.000
Fe2 0.360 0.860 0.000
Fe3 0.640 0.140 0.000
Fe4 0.860 0.640 0.000
Ni1 0.000 0.000 0.500
Ni2 0.500 0.500 0.500
As1 0.158 0.658 0.500
As2 0.342 0.158 0.500
As3 0.658 0.842 0.500
As4 0.842 0.342 0.500


TlH3Br after structural relaxation. Source: Alexandria via LeMat-Bulk, functional PBE.

Output
The calculation puts the density at 6436 kg/m3. The calculation puts the electronic total energy at -2.019 eV per atom. As for the energy relative to the lowest polymorph listed for this composition: 774.9 meV/atom. Its magnetization is 0.0 μB per formula unit. Its space group is No. 221.

Lattice parameters (Å, degrees): 4.201 4.201 4.201 90.00 90.00 90.00
Fractional positions:
Tl1 0.000 0.000 0.000
H1 0.000 0.500 0.500
H2 0.500 0.000 0.500
H3 0.500 0.500 0.000
Br1 0.500 0.500 0.500


Ti2CoHIr after structural relaxation. Source: Alexandria via LeMat-Bulk, functional PBE.

Output
The calculation puts the density at 9710 kg/m3. The calculation puts the electronic total energy at -7.447 eV per atom. As for the energy relative to the lowest polymorph listed for this composition: 138.9 meV/atom. Its magnetization is 0.0 μB per formula unit. Its space group is No. 123.

Lattice parameters (Å, degrees): 4.052 4.052 3.623 90.00 90.00 90.00
Fractional positions:
Ti1 0.000 0.500 0.000
Ti2 0.500 0.000 0.000
Co1 0.000 0.000 0.500
H1 0.500 0.500 0.000
Ir1 0.500 0.500 0.500


CdCu3As after structural relaxation. Source: Alexandria via LeMat-Bulk, functional PBE.

Output
The calculation puts the density at 5919 kg/m3. The calculation puts the electronic total energy at -2.526 eV per atom. As for the energy relative to the lowest polymorph listed for this composition: 714.0 meV/atom. As for the formation energy from the elements: 504 kJ/mol of formula units. Its magnetization is 0.0 μB per formula unit. Its space group is No. 221.

Lattice parameters (Å, degrees): 4.733 4.733 4.733 90.00 90.00 90.00
Fractional positions:
Cd1 0.000 0.000 0.000
Cu1 0.000 0.000 0.500
Cu2 0.000 0.500 0.000
Cu3 0.500 0.000 0.000
As1 0.500 0.500 0.500


Cs2SbHI6 after structural relaxation. Source: Alexandria via LeMat-Bulk, functional PBE.

Output
The calculation puts the density at 4564 kg/m3. The calculation puts the electronic total energy at -2.429 eV per atom. Its magnetization is 0.0 μB per formula unit. Its space group is No. 139.

Lattice parameters (Å, degrees): 8.674 8.674 8.674 125.35 125.35 80.97
Fractional positions:
Cs1 0.250 0.750 0.500
Cs2 0.750 0.250 0.500
Sb1 0.000 0.000 0.000
H1 0.500 0.500 0.000
I1 0.229 0.229 0.000
I2 0.267 0.267 0.534
I3 0.267 0.733 0.000
I4 0.733 0.267 0.000
I5 0.733 0.733 0.466
I6 0.771 0.771 0.000


La3SmHg after structural relaxation. Source: Alexandria via LeMat-Bulk, functional PBE.

Output
The calculation puts the density at 7632 kg/m3. The calculation puts the electronic total energy at -4.145 eV per atom. As for the energy relative to the lowest polymorph listed for this composition: 0.0 meV/atom. As for the formation energy from the elements: -89 kJ/mol of formula units. Its magnetization is 0.0 μB per formula unit. Its space group is No. 2.

Lattice parameters (Å, degrees): 3.836 8.888 10.226 77.46 79.20 89.97
Fractional positions:
La1 0.003 0.289 0.493
La2 0.188 0.375 0.125
La3 0.203 0.838 0.093
La4 0.797 0.162 0.907
La5 0.812 0.625 0.875
La6 0.997 0.711 0.507
Sm1 0.406 0.965 0.685
Sm2 0.594 0.035 0.315
Hg1 0.393 0.421 0.714
Hg2 0.607 0.579 0.286


BaIr2Br after structural relaxation. Source: Alexandria via LeMat-Bulk, functional PBE.

Output
The calculation puts the density at 9833 kg/m3. The calculation puts the electronic total energy at -4.818 eV per atom. As for the energy relative to the lowest polymorph listed for this composition: 704.6 meV/atom. Its magnetization is 2.4 μB per formula unit. The formation energy from raw total energies comes out at 2.047 eV per formula unit. Its space group is No. 139.

Lattice parameters (Å, degrees): 6.757 6.757 6.757 144.87 144.87 50.53
Fractional positions:
Ba1 0.000 0.000 0.000
Ir1 0.250 0.750 0.500
Ir2 0.750 0.250 0.500
Br1 0.500 0.500 0.000


Nb3CoTe after structural relaxation. Source: Alexandria via LeMat-Bulk, functional PBE.

Output
The calculation puts the density at 7671 kg/m3. The calculation puts the electronic total energy at -7.532 eV per atom. As for the energy relative to the lowest polymorph listed for this composition: 0.0 meV/atom. Its magnetization is 0.0 μB per formula unit. The formation energy from raw total energies comes out at 2.798 eV per formula unit. Its space group is No. 221.

Lattice parameters (Å, degrees): 4.653 4.653 4.653 90.00 90.00 90.00
Fractional positions:
Nb1 0.000 0.000 0.500
Nb2 0.000 0.500 0.000
Nb3 0.500 0.000 0.000
Co1 0.000 0.000 0.000
Te1 0.500 0.500 0.500


Sc3Ni8Ir after structural relaxation. Source: Alexandria via LeMat-Bulk, functional PBE.

Output
The calculation puts the density at 8293 kg/m3. The calculation puts the electronic total energy at -6.606 eV per atom. As for the formation energy from the elements: -499 kJ/mol of formula units. Its magnetization is 0.1 μB per formula unit. Its space group is No. 160.

Lattice parameters (Å, degrees): 8.380 8.380 8.380 33.48 33.48 33.48
Fractional positions:
Sc1 0.000 0.000 0.000
Sc2 0.131 0.131 0.131
Sc3 0.614 0.614 0.614
Ni1 0.060 0.060 0.564
Ni2 0.060 0.564 0.060
Ni3 0.062 0.561 0.561
Ni4 0.311 0.311 0.311
Ni5 0.561 0.062 0.561
Ni6 0.561 0.561 0.062
Ni7 0.564 0.060 0.060
Ni8 0.811 0.811 0.811
Ir1 0.495 0.495 0.495


Nd2InBi after structural relaxation. Source: Alexandria via LeMat-Bulk, functional PBE.

Output
The calculation puts the density at 8422 kg/m3. The calculation puts the electronic total energy at -4.654 eV per atom. As for the energy relative to the lowest polymorph listed for this composition: 66.6 meV/atom. As for the formation energy from the elements: -238 kJ/mol of formula units. Its magnetization is 0.0 μB per formula unit. Its space group is No. 123.

Lattice parameters (Å, degrees): 4.145 4.145 7.028 90.00 90.00 90.00
Fractional positions:
Nd1 0.000 0.000 0.247
Nd2 0.000 0.000 0.753
In1 0.500 0.500 0.500
Bi1 0.500 0.500 0.000